# TcCS3

A relaxed TcCS3 crystal (PBE, the Alexandria database).

Cell: 3.986 3.986 3.986 Å, 90.00 90.00 90.00°
Atoms (fractional coordinates):
S 0.500 0.000 0.000
Tc 0.500 0.500 0.500
S 0.000 0.000 0.500
C 0.000 0.000 0.000
S 0.000 0.500 0.000

Results
Fermi-level density of states, states/eV/cell: 1.86
Symmetry: No. 221
Calculated density, Mg/m³: 5.40
Electronic total energy, eV/atom: -5.14
Volume, Å³/atom: 12.67
ΔE_f (raw), eV/atom: 1.259

---

# Tc3CS

A relaxed Tc3CS crystal (PBE, the Alexandria database).

Cell: 4.081 4.081 4.081 Å, 90.00 90.00 90.00°
Atoms (fractional coordinates):
Tc 0.000 0.500 0.000
S 0.500 0.500 0.500
Tc 0.500 0.000 0.000
Tc 0.000 0.000 0.500
C 0.000 0.000 0.000

Results
ΔE to the lowest computed polymorph, kcal/mol of atoms: 0.000
Fermi-level density of states, states/eV/cell: 5.87
Symmetry: No. 221
Calculated density, Mg/m³: 8.26
Electronic total energy, eV/atom: -8.30
Volume, Å³/atom: 13.59
ΔE_f (raw), eV/atom: 0.586

---

# TcTe2CS

A relaxed TcTe2CS crystal (PBE, the Alexandria database).

Cell: 4.728 3.949 4.728 Å, 90.00 90.00 90.00°
Each line ends with the local moment (μB).
Atoms (fractional coordinates):
Te 0.000 0.000 0.500  -0.04
Tc 0.500 0.500 0.500  1.38
S 0.000 0.500 0.000  0.02
C 0.000 0.000 0.000  0.00
Te 0.500 0.000 0.000  -0.07

Results
Fermi-level density of states, states/eV/cell: 3.47
Symmetry: No. 123
Calculated density, Mg/m³: 7.47
Electronic total energy, eV/atom: -4.66
Volume, Å³/atom: 17.66
ΔE_f (raw), eV/atom: 1.337

---

# Th4TcCS2

A relaxed Th4TcCS2 crystal (PBE, the Alexandria database).

Cell: 3.958 7.187 6.895 Å, 72.37 90.00 90.00°
Atoms (fractional coordinates):
Th 0.000 0.726 0.738
Th 0.000 0.274 0.262
Tc 0.500 0.500 0.000
Th 0.500 0.283 0.731
Th 0.500 0.717 0.269
C 0.000 0.500 0.500
S 0.500 0.000 0.500
S 0.000 0.000 0.000

Results
Fermi-level density of states, states/eV/cell: 5.81
Symmetry: No. 10
Calculated density, Mg/m³: 9.79
Electronic total energy, eV/atom: -8.15
Volume, Å³/atom: 23.37
ΔE_f (raw), eV/atom: -0.959

---

# TcWC2S

A relaxed TcWC2S crystal (PBE, the Alexandria database).

Cell: 4.008 4.929 4.008 Å, 90.00 90.00 90.00°
Each line ends with the local moment (μB).
Atoms (fractional coordinates):
S 0.000 0.500 0.000  0.00
Tc 0.500 0.500 0.500  3.44
C 0.500 0.000 0.000  0.01
C 0.000 0.000 0.500  -0.03
W 0.000 0.000 0.000  0.24

Results
Fermi-level density of states, states/eV/cell: 3.46
Symmetry: No. 123
Calculated density, Mg/m³: 7.09
Electronic total energy, eV/atom: -7.52
Volume, Å³/atom: 15.83
ΔE_f (raw), eV/atom: 1.657

---

# ZnTcC2S

A relaxed ZnTcC2S crystal (PBE, the Alexandria database).

Cell: 3.873 5.271 3.873 Å, 90.00 90.00 90.00°
Atoms (fractional coordinates):
S 0.000 0.500 0.000
C 0.500 0.000 0.000
Zn 0.500 0.500 0.500
Tc 0.000 0.000 0.000
C 0.000 0.000 0.500

Results
Fermi-level density of states, states/eV/cell: 2.46
Symmetry: No. 123
Calculated density, Mg/m³: 4.61
Electronic total energy, eV/atom: -5.65
Volume, Å³/atom: 15.81
ΔE_f (raw), eV/atom: 1.190

---

Q: Number 5 is which compound?
A: TcWC2S

---

Q: Which value of electronic total energy does entry 1 give?
A: -5.14 eV/atom